(1)
# NaNd4Si4 | the Alexandria database | PBE-GGA | optimized geometry
# V ... 26.021 A^3/atom
# Energy ... -5.0526 eV/atom
# E_form (uncorrected) ... -0.377 eV per atom
data_NaNd4Si4
_chemical_formula_sum 'Na2 Nd8 Si8'
_cell_length_a 8.7430
_cell_length_b 8.7430
_cell_length_c 6.1274
_cell_angle_alpha 90.00
_cell_angle_beta 90.00
_cell_angle_gamma 90.00
_symmetry_space_group_name_H-M 'P 42/n'
_symmetry_Int_Tables_number 86
loop_
_symmetry_equiv_pos_as_xyz
'x,y,z'
'-x,-y,-z'
'-y,x+1/2,z+1/2'
'y,-x+1/2,-z+1/2'
'-x+1/2,-y+1/2,z'
'x+1/2,y+1/2,-z'
'y+1/2,-x,z+1/2'
'-y+1/2,x,-z+1/2'
loop_
_atom_site_label
_atom_site_type_symbol
_atom_site_fract_x
_atom_site_fract_y
_atom_site_fract_z
Na1 Na 0.2500 0.2500 0.2500
Nd1 Nd 0.0514 0.6648 0.1028
Si1 Si 0.0089 0.6217 0.5883

***

(2)
# Th5In2Fe | the Alexandria database | PBE-GGA | optimized geometry
# V ... 29.708 A^3/atom
# ΔH_f (0 K) ... 0.03 eV per atom
# Energy ... -6.3523 eV/atom
data_Th5In2Fe
_chemical_formula_sum 'Th10 In4 Fe2'
_cell_length_a 11.3043
_cell_length_b 7.4922
_cell_length_c 7.4923
_cell_angle_alpha 90.00
_cell_angle_beta 131.49
_cell_angle_gamma 90.00
_symmetry_space_group_name_H-M 'C 1 m 1'
_symmetry_Int_Tables_number 8
_symmetry_space_group_name_Hall 'C -2y'
loop_
_atom_site_label
_atom_site_type_symbol
_atom_site_fract_x
_atom_site_fract_y
_atom_site_fract_z
Th1 Th 0.0000 0.0000 0.0000
Th2 Th 0.2764 0.2485 0.5255
Th3 Th 0.2766 0.2484 0.0289
In1 In 0.0228 0.0000 0.5236
In2 In 0.0228 0.5000 0.0235
Fe1 Fe 0.3214 0.0000 0.3224

***

(3)
# AlIn2Mo | the Alexandria database | PBE-GGA | optimized geometry
# V ... 19.400 A^3/atom
# ΔH_f (0 K) ... 0.60 eV per atom
# Energy ... -4.4087 eV/atom
data_AlIn2Mo
_chemical_formula_sum 'Al4 In8 Mo4'
_cell_length_a 6.7708
_cell_length_b 6.7708
_cell_length_c 6.7708
_cell_angle_alpha 90.00
_cell_angle_beta 90.00
_cell_angle_gamma 90.00
_symmetry_space_group_name_H-M 'F -4 3 m'
_symmetry_Int_Tables_number 216
_symmetry_space_group_name_Hall 'F -4 2 3'
loop_
_atom_site_label
_atom_site_type_symbol
_atom_site_fract_x
_atom_site_fract_y
_atom_site_fract_z
Al1 Al 0.0000 0.0000 0.0000
In1 In 0.0000 0.0000 0.5000
In2 In 0.2500 0.2500 0.7500
Mo1 Mo 0.2500 0.2500 0.2500

***

(4)
# Ca2SmGd | the Alexandria database | PBE-GGA | optimized geometry
# V ... 36.372 A^3/atom
# ΔH_f (0 K) ... 0.15 eV per atom
# Energy ... -5.5506 eV/atom
data_Ca2SmGd
_chemical_formula_sum 'Ca8 Sm4 Gd4'
_cell_length_a 8.3489
_cell_length_b 8.3489
_cell_length_c 8.3489
_cell_angle_alpha 90.00
_cell_angle_beta 90.00
_cell_angle_gamma 90.00
_symmetry_space_group_name_H-M 'F m -3 m'
_symmetry_Int_Tables_number 225
_symmetry_space_group_name_Hall '-F 4 2 3'
loop_
_atom_site_label
_atom_site_type_symbol
_atom_site_fract_x
_atom_site_fract_y
_atom_site_fract_z
Ca1 Ca 0.2500 0.2500 0.2500
Sm1 Sm 0.0000 0.0000 0.0000
Gd1 Gd 0.0000 0.0000 0.5000

***

(5)
# CsHfMg14O15 | the Alexandria database | PBE-GGA | optimized geometry
# V ... 13.871 A^3/atom
# Energy ... -5.8852 eV/atom
# E_form (uncorrected) ... -2.417 eV per atom
data_CsHfMg14O15
_chemical_formula_sum 'Cs1 Hf1 Mg14 O15'
_cell_length_a 4.1697
_cell_length_b 8.5173
_cell_length_c 12.1076
_cell_angle_alpha 90.00
_cell_angle_beta 90.00
_cell_angle_gamma 90.00
_symmetry_space_group_name_H-M 'P m m 2'
_symmetry_Int_Tables_number 25
_symmetry_space_group_name_Hall 'P 2 -2'
loop_
_atom_site_label
_atom_site_type_symbol
_atom_site_fract_x
_atom_site_fract_y
_atom_site_fract_z
Cs1 Cs 0.0000 0.0000 0.0000
Hf1 Hf 0.0000 0.5000 0.1498
Mg1 Mg 0.0000 0.0000 0.5297
Mg2 Mg 0.0000 0.2386 0.3492
Mg3 Mg 0.0000 0.2459 0.7069
Mg4 Mg 0.0000 0.5000 0.5252
Mg5 Mg 0.5000 0.0000 0.3449
Mg6 Mg 0.5000 0.0000 0.7025
Mg7 Mg 0.5000 0.2253 0.1793
Mg8 Mg 0.5000 0.2504 0.5301
Mg9 Mg 0.5000 0.5000 0.3519
Mg10 Mg 0.5000 0.5000 0.7191
O1 O 0.0000 0.0000 0.3643
O2 O 0.0000 0.0000 0.7137
O3 O 0.0000 0.2539 0.5303
O4 O 0.0000 0.2674 0.1728
O5 O 0.0000 0.5000 0.3411
O6 O 0.5000 0.0000 0.1674
O7 O 0.5000 0.0000 0.5329
O8 O 0.5000 0.2489 0.7091
O9 O 0.5000 0.2507 0.3499
O10 O 0.5000 0.5000 0.1703
O11 O 0.5000 0.5000 0.5258

***

(6)
# Pm5CoBi4 | the Alexandria database | PBE-GGA | optimized geometry
# V ... 32.068 A^3/atom
# ΔH_f (0 K) ... -0.60 eV per atom
# Energy ... -5.2374 eV/atom
data_Pm5CoBi4
_chemical_formula_sum 'Pm10 Co2 Bi8'
_cell_length_a 9.9838
_cell_length_b 9.9838
_cell_length_c 6.4345
_cell_angle_alpha 90.00
_cell_angle_beta 90.00
_cell_angle_gamma 90.00
_symmetry_space_group_name_H-M 'I 4'
_symmetry_Int_Tables_number 79
_symmetry_space_group_name_Hall 'I 4'
loop_
_atom_site_label
_atom_site_type_symbol
_atom_site_fract_x
_atom_site_fract_y
_atom_site_fract_z
Pm1 Pm 0.0000 0.0000 0.0000
Pm2 Pm 0.0957 0.7182 0.6240
Co1 Co 0.0000 0.0000 0.5860
Bi1 Bi 0.0911 0.7014 0.1250

***

(7)
# Mn2ZnIn | the Alexandria database | PBE-GGA | optimized geometry
# V ... 16.077 A^3/atom
# ΔH_f (0 K) ... 0.21 eV per atom
# Energy ... -5.3776 eV/atom
data_Mn2ZnIn
_chemical_formula_sum 'Mn4 Zn2 In2'
_cell_length_a 10.1193
_cell_length_b 3.0983
_cell_length_c 4.4995
_cell_angle_alpha 90.00
_cell_angle_beta 114.26
_cell_angle_gamma 90.00
_symmetry_space_group_name_H-M 'C 1 m 1'
_symmetry_Int_Tables_number 8
_symmetry_space_group_name_Hall 'C -2y'
loop_
_atom_site_label
_atom_site_type_symbol
_atom_site_fract_x
_atom_site_fract_y
_atom_site_fract_z
Mn1 Mn 0.0000 0.0000 0.0000
Mn2 Mn 0.2420 0.5000 0.2125
Zn1 Zn 0.4763 0.0000 0.4756
In1 In 0.2332 0.0000 0.7066

***

(8)
# ReMoRh | the Alexandria database | PBE-GGA | optimized geometry
# V ... 15.018 A^3/atom
# ΔH_f (0 K) ... 0.02 eV per atom
# Energy ... -10.1951 eV/atom
data_ReMoRh
_chemical_formula_sum 'Re2 Mo2 Rh2'
_cell_length_a 2.6868
_cell_length_b 3.9996
_cell_length_c 8.3853
_cell_angle_alpha 90.00
_cell_angle_beta 90.00
_cell_angle_gamma 90.00
_symmetry_space_group_name_H-M 'I m m 2'
_symmetry_Int_Tables_number 44
_symmetry_space_group_name_Hall 'I 2 -2'
loop_
_atom_site_label
_atom_site_type_symbol
_atom_site_fract_x
_atom_site_fract_y
_atom_site_fract_z
Re1 Re 0.0000 0.0000 0.0000
Mo1 Mo 0.0000 0.0000 0.3318
Rh1 Rh 0.0000 0.0000 0.6633

***

Q: V of number 6 (Pm5CoBi4)?
A: 32.068 A^3/atom

***

Q: Look up the V of the second one.
A: 29.708 A^3/atom

***

Q: What is the V in the second record?
A: 29.708 A^3/atom

***

Q: Look up the V of the first one.
A: 26.021 A^3/atom